No. 1
Compound: Th2U2Te7
Source: Alexandria via LeMat-Bulk
Functional: PBE-GGA
Structure: optimized geometry

abc: 5.294 5.294 14.771
angles: 90.00 90.00 90.00
Space group P-4m2 (No. 115)
Symmetry-distinct sites (fractional):
1 Th 0.000 0.500 0.133 [2 per cell]
2 U 0.000 0.500 0.621 [2 per cell]
3 Te 0.000 0.000 0.237 [2 per cell]
4 Te 0.000 0.000 0.500 [1 per cell]
5 Te 0.500 0.500 0.000 [1 per cell]
6 Te 0.500 0.500 0.255 [2 per cell]
7 Te 0.500 0.500 0.500 [1 per cell]

Computed properties:
- Energy relative to the elements, uncorrected: -663 meV/atom
- Relative energy among the computed polymorphs: 260 meV/atom

***

No. 2
Compound: Zr2TaCdCu
Source: Alexandria via LeMat-Bulk
Functional: PBE-GGA
Structure: optimized geometry

abc: 4.897 4.897 4.732
angles: 90.00 90.00 90.00
Space group P4/mmm (No. 123)
Symmetry-distinct sites (fractional):
1 Zr 0.000 0.500 0.000 [2 per cell]
2 Ta 0.000 0.000 0.500 [1 per cell]
3 Cd 0.500 0.500 0.500 [1 per cell]
4 Cu 0.000 0.000 0.000 [1 per cell]

Computed properties:
- Formation enthalpy at 0 K: 649 meV per atom

***

No. 3
Compound: B5C7
Source: Alexandria via LeMat-Bulk
Functional: PBE-GGA
Structure: optimized geometry

abc: 12.258 2.641 5.139
angles: 90.00 104.09 90.00
Space group Cm (No. 8)
Symmetry-distinct sites (fractional):
1 B 0.000 0.000 0.000 [2 per cell]
2 B 0.011 0.000 0.398 [2 per cell]
3 B 0.127 0.000 0.262 [2 per cell]
4 B 0.143 0.000 0.649 [2 per cell]
5 B 0.365 0.000 0.109 [2 per cell]
6 C 0.208 0.500 0.269 [2 per cell]
7 C 0.208 0.500 0.761 [2 per cell]
8 C 0.270 0.500 0.052 [2 per cell]
9 C 0.288 0.500 0.557 [2 per cell]
10 C 0.367 0.000 0.607 [2 per cell]
11 C 0.440 0.000 0.409 [2 per cell]
12 C 0.440 0.000 0.888 [2 per cell]

Computed properties:
- Formation enthalpy at 0 K: 312 meV per atom
- Relative energy among the computed polymorphs: 54 meV/atom

***

Q: What is the formula in the first record?
A: Th2U2Te7